No. 1
Density functional theory data (PBE-GGA) for an optimized crystal structure of AlCu.

Output
- space group = Pm-3n
- ΔE_f (eV/atom) = 0.65
- DFT total energy (eV per atom) = -3.270

Lattice parameters (Å, degrees): 6.779 6.779 6.779 90.00 90.00 90.00
Fractional coordinates of all 12 atoms:
Al  0.000  0.250  0.500
Al  0.000  0.750  0.500
Al  0.250  0.500  0.000
Al  0.500  0.000  0.250
Al  0.500  0.000  0.750
Al  0.750  0.500  0.000
Cu  0.000  0.500  0.250
Cu  0.000  0.500  0.750
Cu  0.250  0.000  0.500
Cu  0.500  0.250  0.000
Cu  0.500  0.750  0.000
Cu  0.750  0.000  0.500

=====

No. 2
Density functional theory data (PBE-GGA) for an optimized crystal structure of NaAcMnH6.

Output
- space group = P-6m2
- DFT total energy (eV per atom) = -4.027

Lattice parameters (Å, degrees): 4.918 4.918 4.565 90.00 90.00 120.00
Fractional coordinates of all 9 atoms:
Na  0.000  0.000  0.000
Ac  0.667  0.333  0.500
Mn  0.333  0.667  0.000
H  0.199  0.399  0.259
H  0.199  0.399  0.741
H  0.199  0.801  0.259
H  0.199  0.801  0.741
H  0.601  0.801  0.259
H  0.601  0.801  0.741

=====

No. 3
Density functional theory data (PBE-GGA) for an optimized crystal structure of Sc4ZnCdIn2.

Output
- space group = R-3m
- ΔE_f (eV/atom) = -0.39
- DFT total energy (eV per atom) = -4.511

Lattice parameters (Å, degrees): 8.578 8.578 8.578 33.60 33.60 33.60
Fractional coordinates of all 8 atoms:
Sc  0.121  0.121  0.121
Sc  0.372  0.372  0.372
Sc  0.628  0.628  0.628
Sc  0.879  0.879  0.879
Zn  0.000  0.000  0.000
Cd  0.500  0.500  0.500
In  0.248  0.248  0.248
In  0.752  0.752  0.752

=====

No. 4
Density functional theory data (PBE-GGA) for an optimized crystal structure of Li2TlCdPb.

Output
- space group = P2_1/m
- ΔE_f (eV/atom) = -0.17
- DFT total energy (eV per atom) = -2.337

Lattice parameters (Å, degrees): 4.544 4.470 11.696 90.00 100.17 90.00
Fractional coordinates of all 10 atoms:
Li  0.038  0.250  0.083
Li  0.371  0.750  0.724
Li  0.629  0.250  0.276
Li  0.962  0.750  0.917
Tl  0.245  0.250  0.488
Tl  0.755  0.750  0.512
Cd  0.461  0.250  0.917
Cd  0.539  0.750  0.083
Pb  0.121  0.750  0.260
Pb  0.879  0.250  0.740

=====

No. 5
Density functional theory data (PBE-GGA) for an optimized crystal structure of V2Cu2Pt.

Output
- space group = I4/mmm
- ΔE_f (eV/atom) = 0.30
- DFT total energy (eV per atom) = -6.191

Lattice parameters (Å, degrees): 6.277 6.277 6.277 147.75 147.75 46.25
Fractional coordinates of all 5 atoms:
V  0.250  0.750  0.500
V  0.750  0.250  0.500
Cu  0.097  0.097  0.000
Cu  0.903  0.903  0.000
Pt  0.500  0.500  0.000

=====

No. 6
Density functional theory data (PBE-GGA) for an optimized crystal structure of KAlSi4.

Output
- space group = F-43m
- uncorrected formation energy (eV/atom) = 0.415
- DFT total energy (eV per atom) = -4.007

Lattice parameters (Å, degrees): 5.362 5.362 5.362 60.00 60.00 60.00
Fractional coordinates of all 6 atoms:
K  0.000  0.000  0.000
Al  0.250  0.250  0.250
Si  0.124  0.625  0.625
Si  0.625  0.124  0.625
Si  0.625  0.625  0.124
Si  0.625  0.625  0.625

=====

No. 7
Density functional theory data (PBE-GGA) for an optimized crystal structure of GaPCS2.

Output
- space group = P4/mmm
- uncorrected formation energy (eV/atom) = 1.970
- DFT total energy (eV per atom) = -3.213

Lattice parameters (Å, degrees): 4.643 4.643 4.761 90.00 90.00 90.00
Fractional coordinates of all 5 atoms:
Ga  0.000  0.000  0.000
P  0.000  0.000  0.500
C  0.500  0.500  0.500
S  0.000  0.500  0.000
S  0.500  0.000  0.000

=====

No. 8
Density functional theory data (PBE-GGA) for an optimized crystal structure of PdBr2F4.

Output
- space group = I4/mmm
- uncorrected formation energy (eV/atom) = -0.738
- DFT total energy (eV per atom) = -3.027

Lattice parameters (Å, degrees): 10.074 10.074 10.074 157.02 157.02 32.72
Fractional coordinates of all 7 atoms:
Pd  0.000  0.000  0.000
Br  0.254  0.254  0.000
Br  0.746  0.746  0.000
F  0.000  0.500  0.500
F  0.099  0.099  0.000
F  0.500  0.000  0.500
F  0.901  0.901  0.000